The following is a DFT calculation (PBE with a Hubbard U) of a relaxed NaTaWF2 crystal.

a = 4.252 Å, b = 4.252 Å, c = 5.559 Å
α = 90.00°, β = 90.00°, γ = 90.00°
Atoms (fractional coordinates):
Na  0.000  0.000  0.000
Ta  0.500  0.500  0.500
W  0.500  0.500  0.000
F  0.000  0.500  0.500
F  0.500  0.000  0.500

final energy	-5.219	eV per atom
ρ	7.03	g/cm³
total moment	2.63	μB/f.u.